This record from Alexandria via LeMat-Bulk describes crystalline YCoO2F at its relaxed geometry. The functional is PBE+U.

E ... -33.9 eV per formula unit
Total magnetic moment ... 2.97 μB/f.u.
DOS at the Fermi energy ... 0.3 states/eV/cell
Crystal system ... tetragonal
Symmetry ... P4/mmm
Theoretical density ... 5527 kg/m³

a = 3.941 Å, b = 3.941 Å, c = 3.847 Å
α = 90.00°, β = 90.00°, γ = 90.00°
Fractional positions:
Co  0.000  0.000  0.000
F  0.000  0.000  0.500
O  0.000  0.500  0.000
O  0.500  0.000  0.000
Y  0.500  0.500  0.500